DFT (GGA-PBE) results for an optimized crystal structure of Pm6Te2P3.

a b c (Å): 7.2254 12.5078 7.6253
angles (deg): 90.00 108.57 90.00
Space group C2/m (No. 12)
Inequivalent atoms, fractional coordinates:
Pm (0.2382, 0.0000, 0.2097) [4 per cell]
Pm (0.2385, 0.3330, 0.2161) [8 per cell]
Te (0.0000, 0.3348, 0.5000) [4 per cell]
P (0.0000, 0.1703, 0.0000) [4 per cell]
P (0.0000, 0.5000, 0.0000) [2 per cell]

formation energy without anion corrections = -1.408 eV per atom
theoretical density = 6.19 g/cm³

---

DFT (GGA-PBE) results for an optimized crystal structure of NaSeS.

a b c (Å): 14.2111 3.3795 6.4007
angles (deg): 90.00 99.09 90.00
Space group C2/m (No. 12)
Inequivalent atoms, fractional coordinates:
Na (0.1013, 0.0000, 0.2326) [4 per cell]
Se (0.1744, 0.5000, 0.6353) [4 per cell]
S (0.0729, 0.5000, 0.8507) [4 per cell]

formation energy without anion corrections = -0.459 eV per atom
polymorph energy (0 for the lowest one) = 0.0 kJ/mol of atoms
theoretical density = 2.93 g/cm³

---

Among the records above, which one has the lowest formation energy without anion corrections?
Pm6Te2P3